Record 1
# POs2W

A relaxed structure of POs2W (GGA-PBE, the Alexandria database).

Summary:
Its formation energy is 0.487 eV per atom. The crystal system is tetragonal. Its space-group type is P4/mmm, No. 123. The density of states at the Fermi level comes out at 3.6 states/eV per cell.

a b c (Å): 4.4613 4.4613 2.9509
angles (deg): 90.00 90.00 90.00
With the nearest neighbours (Å) after each atom.
Fractional coordinates of all 4 atoms:
1 W 0.0000 0.0000 0.5000  8 Os 2.67, 2 W 2.95
2 Os 0.0000 0.5000 0.0000  4 P 2.67, 4 W 2.67, 2 Os 2.95
3 Os 0.5000 0.0000 0.0000  4 W 2.67, 4 P 2.67, 2 Os 2.95
4 P 0.5000 0.5000 0.5000  8 Os 2.67, 2 P 2.95

---

Record 2
# SmPuS2N

A relaxed structure of SmPuS2N (GGA-PBE, the Alexandria database).

Summary:
The crystal system is tetragonal. Its space-group type is P4/nmm, No. 129. For the uncorrected formation energy, the calculation gives -1664 meV/atom. The density of states at the Fermi level comes out at 11.2 states/eV per cell.

a b c (Å): 3.8629 3.8629 14.0273
angles (deg): 90.00 90.00 90.00
With the nearest neighbours (Å) after each atom.
Fractional coordinates of all 10 atoms:
1 Pu 0.5000 0.0000 0.5817  4 N 2.25
2 S 0.0000 0.5000 0.0913  5 Sm 2.78-3.06
3 N 0.5000 0.5000 0.5000  4 Pu 2.25
4 S 0.5000 0.0000 0.3150  1 Sm 2.64
5 Pu 0.0000 0.5000 0.4183  4 N 2.25
6 Sm 0.5000 0.0000 0.1267  5 S 2.64-2.78
7 N 0.0000 0.0000 0.5000  4 Pu 2.25
8 S 0.5000 0.0000 0.9087  5 Sm 2.78-3.06
9 Sm 0.0000 0.5000 0.8733  5 S 2.64-2.78
10 S 0.0000 0.5000 0.6850  1 Sm 2.64